# InAgPdSe2S GGA-PBE relaxed
# **Raw total energy**: -3.870 eV per atom
data_InAgPdSe2S
_space_group_name_H-M_alt 'C m c m'
_space_group_IT_number 63
_space_group_name_Hall '-C 2c 2'
_cell_length_a 3.7802
_cell_length_b 12.6509
_cell_length_c 10.7931
_cell_angle_alpha 90.00
_cell_angle_beta 90.00
_cell_angle_gamma 90.00
loop_
_atom_site_label
_atom_site_fract_x
_atom_site_fract_y
_atom_site_fract_z
In1 0.0000 0.1631 0.2500
Ag1 0.0000 0.1585 0.7500
Pd1 0.0000 0.5000 0.0000
Se1 0.0000 0.1334 0.5092
S1 0.0000 0.4835 0.7500